# 1
Sb2Pb: relaxed, PBE.

Summary:
The calculation puts the density of states at the Fermi level at 0.63 states/eV/atom. The uncorrected formation energy is 0.221 eV/atom. The energy relative to the lowest polymorph listed for this composition is 0.1535 eV/atom.

Geometry as extended XYZ:
```
6
Lattice="-4.654 -2.931 3.207 0.657 -6.102 1.696 0.829 -1.531 6.124" Properties=species:S:1:pos:R:3 pbc="T T T"
Pb 0.000 0.000 0.000
Pb -0.792 -2.641 2.757
Sb 0.347 -5.137 5.288
Sb -2.308 -3.551 6.044
Sb -1.980 -6.602 6.892
Sb -2.394 -5.837 3.830
```


# 2
MnCoIr2: relaxed, PBE.

Summary:
The calculation puts the density of states at the Fermi level at 0.95 states/eV/atom. As for the formation energy: 0.9410 eV/atom.

Geometry as extended XYZ:
```
8
Lattice="5.322 0.000 0.000 0.000 5.322 0.000 2.661 2.661 5.098" Properties=species:S:1:pos:R:3 pbc="T T T"
Ir 3.981 1.330 1.274
Ir 1.341 3.991 1.274
Ir 3.991 4.002 3.823
Ir 6.652 6.642 3.823
Co 0.000 0.000 0.000
Co 5.322 2.661 2.549
Mn 2.661 2.661 0.000
Mn 2.661 5.322 2.549
```


# 3
BaIn4Sn2: relaxed, PBE.

Summary:
The calculation puts the density of states at the Fermi level at 0.42 states/eV/atom. As for the formation energy: -0.2209 eV/atom. The energy relative to the lowest polymorph listed for this composition is 0.0000 eV/atom.

Geometry as extended XYZ:
```
14
Lattice="4.798 0.000 0.000 0.000 9.543 0.000 0.000 0.000 9.543" Properties=species:S:1:pos:R:3 pbc="T T T"
Ba 2.399 0.000 0.000
Ba 0.000 4.772 4.772
Sn 0.000 2.040 7.503
Sn 0.000 7.503 2.040
Sn 2.399 6.811 6.811
Sn 2.399 2.732 2.732
In 0.000 0.790 3.296
In 0.000 8.753 6.247
In 2.399 1.476 5.562
In 2.399 8.068 3.981
In 2.399 3.981 8.068
In 2.399 5.562 1.476
In 0.000 3.296 0.790
In 0.000 6.247 8.753
```


# 4
MgAgSn: relaxed, PBE.

Summary:
The calculation puts the density of states at the Fermi level at 0.56 states/eV/atom. As for the formation energy: -0.1035 eV/atom.

Geometry as extended XYZ:
```
6
Lattice="3.353 0.000 0.000 0.000 3.353 0.000 -1.677 -1.677 11.896" Properties=species:S:1:pos:R:3 pbc="T T T"
Ag 0.000 0.000 6.768
Ag 1.677 1.677 5.128
Mg 0.000 0.000 3.539
Mg 1.677 1.677 8.357
Sn 1.677 1.677 1.510
Sn 0.000 0.000 10.386
```


# 5
YPu5Pt6: relaxed, PBE.

Summary:
The calculation puts the density of states at the Fermi level at 4.47 states/eV/atom. As for the formation energy: -0.7900 eV/atom.

Geometry as extended XYZ:
```
12
Lattice="4.743 0.016 -1.382 -0.942 6.075 -3.165 -0.045 0.584 8.686" Properties=species:S:1:pos:R:3 pbc="T T T"
Y 0.000 0.000 0.000
Pt 3.386 4.004 2.835
Pt 3.865 0.914 4.446
Pt 1.662 4.583 -3.075
Pt 2.139 1.508 -1.472
Pt -0.108 5.760 -0.307
Pt 0.371 2.670 1.303
Pu 3.005 1.246 1.497
Pu 1.237 2.418 4.273
Pu -0.471 3.038 -1.583
Pu 2.520 4.256 -0.134
Pu 0.752 5.428 2.642
```


# 6
KGaBr2: relaxed, PBE.

Summary:
The calculation puts the density of states at the Fermi level at 0.00 states/eV/atom. The uncorrected formation energy is -1.062 eV/atom. The energy relative to the lowest polymorph listed for this composition is 0.0767 eV/atom.

Geometry as extended XYZ:
```
4
Lattice="3.926 0.000 0.000 0.000 5.535 0.000 0.000 0.000 5.535" Properties=species:S:1:pos:R:3 pbc="T T T"
K 1.963 2.767 2.767
Ga 1.963 0.000 0.000
Br 0.000 0.000 2.767
Br 0.000 2.767 0.000
```


What is the formula in the sixth record?
KGaBr2